Model w:
First-principles (GGA-PBE) data for NdTm2Ag after structural relaxation, as listed in the Alexandria database.

```
NdTm2Ag
1.0
4.771 0.000 0.000
0.000 4.771 0.000
0.000 0.000 4.844
Nd Tm Ag
1 2 1
Cartesian
0.000 0.000 0.000
0.000 2.385 2.422
2.385 0.000 2.422
2.385 2.385 0.000
```

Properties
total moment	0.000	μB per atom

---

Model x:
First-principles (GGA-PBE) data for NdTm2Ag after structural relaxation, as listed in the Alexandria database.

```
NdTm2Ag
1.0
3.597 0.000 0.000
0.000 3.597 0.000
0.000 0.000 8.650
Nd Tm Ag
1 2 1
Cartesian
0.000 0.000 0.000
1.798 1.798 2.540
1.798 1.798 6.110
0.000 0.000 4.325
```

Properties
total moment	0.000	μB per atom

---

In meV per atom, relative to the most stable structure: model w 157; model x 0.

---

Model w:
First-principles (GGA-PBE) data for NdTm2Ag after structural relaxation, as listed in the Alexandria database.

```
NdTm2Ag
1.0
1.804 1.042 10.290
-1.804 1.042 10.290
0.000 -2.084 10.290
Nd Tm Ag
1 2 1
Cartesian
0.000 0.000 0.000
0.000 0.000 7.372
0.000 0.000 13.231
0.000 0.000 25.745
```

Properties
total moment	0.000	μB per atom

---

Model x:
First-principles (GGA-PBE) data for NdTm2Ag after structural relaxation, as listed in the Alexandria database.

```
NdTm2Ag
1.0
1.785 1.030 10.399
-1.785 1.030 10.399
0.000 -2.061 10.399
Nd Tm Ag
1 2 1
Cartesian
0.000 0.000 0.000
0.000 0.000 7.476
0.000 0.000 23.722
0.000 0.000 15.599
```

Properties
total moment	0.000	μB per atom

---

In meV per atom, relative to the most stable structure: model w 13; model x 0.

---

Model w:
First-principles (GGA-PBE) data for NdTmAg2 after structural relaxation, as listed in the Alexandria database.

```
NdTmAg2
1.0
0.000 3.680 3.680
3.680 0.000 3.680
3.680 3.680 0.000
Nd Tm Ag
1 1 2
Cartesian
0.000 0.000 0.000
3.680 3.680 3.680
1.840 1.840 1.840
5.520 5.520 5.520
```

Properties
total moment	0.000	μB per atom

---

Model x:
First-principles (GGA-PBE) data for NdTmAg2 after structural relaxation, as listed in the Alexandria database.

```
NdTmAg2
1.0
3.617 0.000 0.000
0.000 3.617 0.000
0.000 0.000 7.543
Nd Tm Ag
1 1 2
Cartesian
0.000 0.000 0.000
0.000 0.000 3.772
1.808 1.808 2.072
1.808 1.808 5.471
```

Properties
total moment	0.001	μB per atom

---

In meV per atom, relative to the most stable structure: model w 22; model x 0.

---

Model w:
First-principles (GGA-PBE) data for Nd2TmAg2 after structural relaxation, as listed in the Alexandria database.

```
Nd2TmAg2
1.0
-2.014 3.541 4.946
2.014 -3.541 4.946
2.014 3.541 -4.946
Nd Tm Ag
2 1 2
Cartesian
0.000 0.000 2.036
0.000 0.000 7.855
0.000 3.541 0.000
2.014 1.444 0.000
0.000 2.098 4.946
```

Properties
total moment	0.000	μB per atom

---

Model x:
First-principles (GGA-PBE) data for Nd2TmAg2 after structural relaxation, as listed in the Alexandria database.

```
Nd2TmAg2
1.0
1.795 -10.669 0.000
1.795 10.669 0.000
0.000 0.000 3.576
Nd Tm Ag
2 1 2
Cartesian
1.795 6.912 0.000
1.795 -6.912 0.000
0.000 0.000 0.000
1.795 1.710 1.788
1.795 -1.710 1.788
```

Properties
total moment	0.070	μB per atom

---

In meV per atom, relative to the most stable structure: model w 16; model x 0.